Version A
AlInRe3 PBE relaxed; SG = Pm-3m, No. 221; total moment = 0.0 μB per formula unit
1.0
-3.8545 1.8355 1.4351
-1.5703 0.0029 -4.2213
-1.7213 -4.1129 0.6375
Re Al In
3 1 1
Direct
0.5000 0.0000 0.0000
0.0000 0.0000 0.5000
0.0000 0.5000 0.0000
0.0000 0.0000 0.0000
0.5000 0.5000 0.5000

---

Version B
AlInRe3 PBE relaxed; SG = Pm-3m, No. 221; total moment = 2.7 μB per formula unit
1.0
4.8112 0.0000 0.0000
0.0000 4.8112 0.0000
0.0000 0.0000 4.8112
Al Re In
1 3 1
Direct
0.5000 0.5000 0.5000
0.0000 0.0000 0.5000
0.0000 0.5000 0.0000
0.5000 0.0000 0.0000
0.0000 0.0000 0.0000

---

Order from most stable to least stable according to the calculation: version A, version B

---

Version A
AlInRh3 PBE relaxed; SG = Pm-3m, No. 221; total moment = 1.0 μB per formula unit
1.0
4.8138 0.0000 0.0000
0.0000 4.8138 0.0000
0.0000 0.0000 4.8138
Rh Al In
3 1 1
Direct
0.0000 0.5000 0.0000
0.0000 0.0000 0.5000
0.5000 0.0000 0.0000
0.5000 0.5000 0.5000
0.0000 0.0000 0.0000

---

Version B
AlInRh3 PBE relaxed; SG = Pm-3m, No. 221; total moment = 0.0 μB per formula unit
1.0
4.4684 0.0000 0.0000
0.0000 4.4684 0.0000
0.0000 0.0000 4.4684
Al Rh In
1 3 1
Direct
0.0000 0.0000 0.0000
0.0000 0.5000 0.0000
0.5000 0.0000 0.0000
0.0000 0.0000 0.5000
0.5000 0.5000 0.5000

---

Order from most stable to least stable according to the calculation: version B, version A

---

Version A
AlIn3Rh PBE relaxed; SG = Pm-3m, No. 221; total moment = 0.0 μB per formula unit
1.0
5.1297 0.0000 0.0000
0.0000 5.1297 0.0000
0.0000 0.0000 5.1297
In Al Rh
3 1 1
Direct
0.0000 0.0000 0.5000
0.0000 0.5000 0.0000
0.5000 0.0000 0.0000
0.5000 0.5000 0.5000
0.0000 0.0000 0.0000

---

Version B
AlIn3Rh PBE relaxed; SG = Pm-3m, No. 221; total moment = 0.0 μB per formula unit
1.0
-4.9203 -0.0039 1.4616
-1.2776 -2.4813 -4.3077
0.7099 -4.4931 2.3776
Rh Al In
1 1 3
Direct
0.5000 0.5000 0.5000
0.0000 0.0000 0.0000
0.0000 0.5000 0.0000
0.5000 0.0000 0.0000
0.0000 0.0000 0.5000

---

Order from most stable to least stable according to the calculation: version A, version B